# Sc2TaW PBE-GGA relaxed
# E_tot = -9.178 eV per atom
# M_tot = 0.000 μB/atom
# ΔE to the lowest computed polymorph = 0.0872 eV/atom
# ΔH_f (0 K) = 4.36 kcal/mol of atoms
data_Sc2TaW
_chemical_formula_sum 'Sc4 Ta2 W2'
_space_group_name_H-M_alt 'I m m 2'
_space_group_IT_number 44
_space_group_name_Hall 'I 2 -2'
_cell_length_a 3.431
_cell_length_b 4.949
_cell_length_c 9.450
_cell_angle_alpha 90.00
_cell_angle_beta 90.00
_cell_angle_gamma 90.00
loop_
_atom_site_label
_atom_site_type_symbol
_atom_site_fract_x
_atom_site_fract_y
_atom_site_fract_z
_atom_site_occupancy
Sc1 Sc 0.000 0.000 0.000 1
Sc2 Sc 0.000 0.500 0.223 1
Ta1 Ta 0.000 0.500 0.774 1
W1 W 0.000 0.000 0.475 1